# KZnAgI4 PBE relaxed
# * raw formation energy: -718 meV/atom
# * D(E_F): 0.000 states/eV/atom
# * M_tot: 0.00 μB/f.u.
data_KZnAgI4
_cell_length_a 7.146
_cell_length_b 8.964
_cell_length_c 9.584
_cell_angle_alpha 90.00
_cell_angle_beta 101.93
_cell_angle_gamma 90.00
_symmetry_space_group_name_H-M 'P 1'
_symmetry_Int_Tables_number 1
loop_
_symmetry_equiv_pos_as_xyz
'x,y,z'
loop_
_atom_site_label
_atom_site_type_symbol
_atom_site_fract_x
_atom_site_fract_y
_atom_site_fract_z
I1 I 0.618 0.250 0.932
I2 I 0.502 0.250 0.472
I3 I 0.983 0.521 0.270
Ag1 Ag 0.287 0.250 0.686
I4 I 0.382 0.750 0.068
Zn1 Zn 0.225 0.750 0.300
I5 I 0.017 0.021 0.730
I6 I 0.983 0.979 0.270
I7 I 0.017 0.479 0.730
I8 I 0.498 0.750 0.528
K1 K 0.176 0.250 0.059
Zn2 Zn 0.775 0.250 0.700
Ag2 Ag 0.713 0.750 0.314
K2 K 0.824 0.750 0.941